P:
# TlCu2C | the Alexandria database | PBE | relaxed
# **Fermi-level density of states**: 13.1 states/eV per cell
data_TlCu2C
_chemical_formula_sum 'Tl4 Cu8 C4'
_cell_length_a 4.9591
_cell_length_b 4.9591
_cell_length_c 11.5482
_cell_angle_alpha 90.00
_cell_angle_beta 90.00
_cell_angle_gamma 90.00
_symmetry_space_group_name_H-M 'I 41/a m d'
_symmetry_Int_Tables_number 141
loop_
_symmetry_equiv_pos_as_xyz
'x,y,z'
'-x,-y,-z'
'-y+1/4,x+3/4,z+1/4'
'y+1/4,-x+3/4,-z+1/4'
'-x+1/2,-y,z+1/2'
'x+1/2,y,-z+1/2'
'y+1/4,-x+1/4,z+3/4'
'-y+1/4,x+1/4,-z+3/4'
'x,-y,-z'
'-x,y,z'
'-y+1/4,-x+1/4,-z+3/4'
'y+1/4,x+1/4,z+3/4'
'-x+1/2,y,-z+1/2'
'x+1/2,-y,z+1/2'
'y+1/4,x+3/4,-z+1/4'
'-y+1/4,-x+3/4,z+1/4'
'x+1/2,y+1/2,z+1/2'
'-x+1/2,-y+1/2,-z+1/2'
'-y+3/4,x+1/4,z+3/4'
'y+3/4,-x+1/4,-z+3/4'
'-x,-y+1/2,z'
'x,y+1/2,-z'
'y+3/4,-x+3/4,z+1/4'
'-y+3/4,x+3/4,-z+1/4'
'x+1/2,-y+1/2,-z+1/2'
'-x+1/2,y+1/2,z+1/2'
'-y+3/4,-x+3/4,-z+1/4'
'y+3/4,x+3/4,z+1/4'
'-x,y+1/2,-z'
'x,-y+1/2,z'
'y+3/4,x+1/4,-z+3/4'
'-y+3/4,-x+1/4,z+3/4'
loop_
_atom_site_label
_atom_site_fract_x
_atom_site_fract_y
_atom_site_fract_z
_atom_site_occupancy
Tl1 0.0000 0.2500 0.3750 1
Cu1 0.0000 0.0000 0.0000 1
C1 0.0000 0.2500 0.8750 1

---

Q:
# TlCu2C | the Alexandria database | PBE | relaxed
# **Fermi-level density of states**: 12.4 states/eV per cell
data_TlCu2C
_chemical_formula_sum 'Tl4 Cu8 C4'
_cell_length_a 6.1211
_cell_length_b 6.1211
_cell_length_c 6.1211
_cell_angle_alpha 90.00
_cell_angle_beta 90.00
_cell_angle_gamma 90.00
_symmetry_space_group_name_H-M 'F m -3 m'
_symmetry_Int_Tables_number 225
_symmetry_space_group_name_Hall '-F 4 2 3'
loop_
_atom_site_label
_atom_site_fract_x
_atom_site_fract_y
_atom_site_fract_z
_atom_site_occupancy
Tl1 0.0000 0.0000 0.0000 1
Cu1 0.2500 0.2500 0.2500 1
C1 0.0000 0.0000 0.5000 1

---

Going by the energies, P is most stable and the next is 0.733 eV/atom up.

---

P:
# Tl2CuC | the Alexandria database | PBE | relaxed
# **Fermi-level density of states**: 10.4 states/eV per cell
data_Tl2CuC
_chemical_formula_sum 'Tl8 Cu4 C4'
_cell_length_a 6.1330
_cell_length_b 6.1330
_cell_length_c 9.6226
_cell_angle_alpha 90.00
_cell_angle_beta 90.00
_cell_angle_gamma 90.00
_symmetry_space_group_name_H-M 'I -4 2 d'
_symmetry_Int_Tables_number 122
_symmetry_space_group_name_Hall 'I -4 2bw'
loop_
_atom_site_label
_atom_site_fract_x
_atom_site_fract_y
_atom_site_fract_z
_atom_site_occupancy
Tl1 0.1921 0.2500 0.1250 1
Cu1 0.0000 0.0000 0.5000 1
C1 0.0000 0.0000 0.0000 1

---

Q:
# Tl2CuC | the Alexandria database | PBE | relaxed
# **Fermi-level density of states**: 8.8 states/eV per cell
data_Tl2CuC
_chemical_formula_sum 'Tl8 Cu4 C4'
_cell_length_a 6.6663
_cell_length_b 6.6663
_cell_length_c 6.6663
_cell_angle_alpha 90.00
_cell_angle_beta 90.00
_cell_angle_gamma 90.00
_symmetry_space_group_name_H-M 'F m -3 m'
_symmetry_Int_Tables_number 225
_symmetry_space_group_name_Hall '-F 4 2 3'
loop_
_atom_site_label
_atom_site_fract_x
_atom_site_fract_y
_atom_site_fract_z
_atom_site_occupancy
Tl1 0.2500 0.2500 0.2500 1
Cu1 0.0000 0.0000 0.0000 1
C1 0.0000 0.0000 0.5000 1

---

Going by the energies, P is most stable and the next is 0.214 eV/atom up.